Material: Cs2LiMoO4
Method: DFT, GGA+U
State: relaxed

Cell: 12.956 11.664 6.765 Å, 84.93 63.73 31.34°
Positions (direct):
Cs1 0.046 0.046 0.704
Cs2 0.296 0.296 0.954
Cs3 0.704 0.704 0.046
Cs4 0.954 0.954 0.296
Li1 0.375 0.375 0.375
Li2 0.625 0.625 0.625
Mo1 0.125 0.125 0.125
Mo2 0.875 0.875 0.875
O1 0.018 0.329 0.377
O2 0.225 0.623 0.671
O3 0.329 0.018 0.775
O4 0.377 0.775 0.018
O5 0.623 0.225 0.982
O6 0.671 0.982 0.225
O7 0.775 0.377 0.329
O8 0.982 0.671 0.623

Values from the calculation:
- Raw total energy: -0.20252 Ha/atom
- Spin magnetization: 2.0 Bohr magnetons per cell

Material: CsLi2Mo2O7
Method: DFT, GGA+U
State: relaxed

Cell: 9.427 9.427 9.427 Å, 37.36 37.36 37.36°
Positions (direct):
Cs1 0.000 0.000 0.000
Li1 0.260 0.260 0.260
Li2 0.740 0.740 0.740
Mo1 0.427 0.427 0.427
Mo2 0.573 0.573 0.573
O1 0.090 0.494 0.629
O2 0.371 0.506 0.910
O3 0.494 0.629 0.090
O4 0.500 0.500 0.500
O5 0.506 0.910 0.371
O6 0.629 0.090 0.494
O7 0.910 0.371 0.506

Values from the calculation:
- D(E_F): 0.55 states/eV per atom
- Raw total energy: -0.22880 Ha/atom
- Spin magnetization: 1.0 Bohr magnetons per cell

> Number 2 is which compound?

CsLi2Mo2O7

> Which of these has the lowest raw total energy?

CsLi2Mo2O7